Al2IrSe: PBEsol geometry, SCAN.

The space group is P2/m (No. 10) and the conventional cell measures 3.2484, 3.2531 and 5.9301 Å, with angles of 90.00, 97.33 and 90.00 degrees. The asymmetric unit holds Al at (0.0321, 0.0000, 0.2277), Ir at (0.5000, 0.5000, 0.0000) and Se at (0.5000, 0.5000, 0.5000).

The crystal system is monoclinic. Its density of states at the Fermi level is 1.94 states/eV/cell. The uncorrected formation energy comes out at -1.47 eV per formula unit.


Re4TeRu: PBEsol geometry, SCAN.

The space group is F-43m (No. 216) and the conventional cell measures 7.3402, 7.3402 and 7.3402 Å, with angles of 90.00, 90.00 and 90.00 degrees. The asymmetric unit holds Re at (0.1240, 0.1240, 0.1240), Te at (0.0000, 0.0000, 0.5000) and Ru at (0.2500, 0.2500, 0.7500).

The crystal system is cubic. Its density of states at the Fermi level is 21.67 states/eV/cell. The uncorrected formation energy comes out at 5.33 eV per formula unit.


Ta2TiTlB: PBEsol geometry, SCAN.

The space group is P4/mmm (No. 123) and the conventional cell measures 4.6249, 4.6249 and 5.1308 Å, with angles of 90.00, 90.00 and 90.00 degrees. The asymmetric unit holds Ta at (0.0000, 0.5000, 0.0000), Ti at (0.0000, 0.0000, 0.0000), Tl at (0.0000, 0.0000, 0.5000) and B at (0.5000, 0.5000, 0.5000).

The crystal system is tetragonal. As for the formation enthalpy at 0 K: 213.8 kJ/mol of atoms. Its density of states at the Fermi level is 4.59 states/eV/cell.


SrPHO2: PBEsol geometry, SCAN.

The space group is P4/mmm (No. 123) and the conventional cell measures 4.6648, 4.6648 and 6.5822 Å, with angles of 90.00, 90.00 and 90.00 degrees. The asymmetric unit holds Sr at (0.0000, 0.0000, 0.0000), P at (0.0000, 0.0000, 0.5000), H at (0.5000, 0.5000, 0.5000) and O at (0.0000, 0.5000, 0.0000).

The crystal system is tetragonal. The total energy comes out at -9.1270 eV per atom. Its density of states at the Fermi level is 2.03 states/eV/cell.


CaBiS2N: PBEsol geometry, SCAN.

The space group is P4/mmm (No. 123) and the conventional cell measures 5.1703, 5.1703 and 4.2673 Å, with angles of 90.00, 90.00 and 90.00 degrees. The asymmetric unit holds Ca at (0.0000, 0.0000, 0.0000), Bi at (0.5000, 0.5000, 0.5000), S at (0.0000, 0.5000, 0.0000) and N at (0.0000, 0.0000, 0.5000).

The crystal system is tetragonal. Its density of states at the Fermi level is 1.29 states/eV/cell. The uncorrected formation energy comes out at 1.80 eV per formula unit.


ZrSc2Cu2: PBEsol geometry, SCAN.

The space group is P4/mbm (No. 127) and the conventional cell measures 7.3731, 7.3731 and 3.3089 Å, with angles of 90.00, 90.00 and 90.00 degrees. The asymmetric unit holds Zr at (0.0000, 0.0000, 0.0000), Sc at (0.1670, 0.3330, 0.5000) and Cu at (0.1249, 0.6249, 0.0000).

The crystal system is tetragonal. As for the formation enthalpy at 0 K: -18.8 kJ/mol of atoms. Its density of states at the Fermi level is 9.71 states/eV/cell.


Li2CrCo: PBEsol geometry, SCAN.

The space group is C2/m (No. 12) and the conventional cell measures 4.7456, 9.0471 and 2.3737 Å, with angles of 90.00, 116.00 and 90.00 degrees. The asymmetric unit holds Li at (0.2500, 0.2500, 0.0000), Cr at (0.0000, 0.0000, 0.5000) and Co at (0.0000, 0.5000, 0.5000).

The crystal system is monoclinic. As for the formation enthalpy at 0 K: 40.0 kJ/mol of atoms. Its density of states at the Fermi level is 4.80 states/eV/cell.


GeHS2Cl: PBEsol geometry, SCAN.

The space group is P4/mmm (No. 123) and the conventional cell measures 4.6296, 4.6296 and 4.9148 Å, with angles of 90.00, 90.00 and 90.00 degrees. The asymmetric unit holds Ge at (0.0000, 0.0000, 0.0000), H at (0.5000, 0.5000, 0.5000), S at (0.0000, 0.5000, 0.0000) and Cl at (0.0000, 0.0000, 0.5000).

The crystal system is tetragonal. The total energy comes out at -9.2407 eV per atom. Its density of states at the Fermi level is 3.86 states/eV/cell.


Co4Rh5: PBEsol geometry, SCAN.

The space group is I4/mmm (No. 139) and the conventional cell measures 7.7193, 7.7193 and 3.6950 Å, with angles of 90.00, 90.00 and 90.00 degrees. The asymmetric unit holds Co at (0.0000, 0.3436, 0.0000), Rh at (0.0000, 0.0000, 0.0000) and Rh at (0.1689, 0.1689, 0.5000).

The crystal system is tetragonal. As for the formation enthalpy at 0 K: 6.6 kJ/mol of atoms. Its density of states at the Fermi level is 18.08 states/eV/cell.


CrRuPt2: PBEsol geometry, SCAN.

The space group is I-4m2 (No. 119) and the conventional cell measures 3.8064, 3.8064 and 7.5761 Å, with angles of 90.00, 90.00 and 90.00 degrees. The asymmetric unit holds Cr at (0.0000, 0.0000, 0.0000), Ru at (0.0000, 0.5000, 0.7500), Pt at (0.0000, 0.0000, 0.5000) and Pt at (0.0000, 0.5000, 0.2500).

The crystal system is tetragonal. As for the formation enthalpy at 0 K: -21.0 kJ/mol of atoms. Its density of states at the Fermi level is 8.40 states/eV/cell.


ReMoIr2: PBEsol geometry, SCAN.

The space group is Fm-3m (No. 225) and the conventional cell measures 6.1909, 6.1909 and 6.1909 Å, with angles of 90.00, 90.00 and 90.00 degrees. The asymmetric unit holds Re at (0.0000, 0.0000, 0.0000), Mo at (0.0000, 0.0000, 0.5000) and Ir at (0.2500, 0.2500, 0.2500).

Its energy above the most stable polymorph in this dataset is 3.59 eV/f.u. The crystal system is cubic. As for the formation enthalpy at 0 K: 46.8 kJ/mol of atoms. Its density of states at the Fermi level is 27.13 states/eV/cell.


Ga2HgBi: PBEsol geometry, SCAN.

The space group is Fm-3m (No. 225) and the conventional cell measures 7.1918, 7.1918 and 7.1918 Å, with angles of 90.00, 90.00 and 90.00 degrees. The asymmetric unit holds Ga at (0.2500, 0.2500, 0.2500), Hg at (0.0000, 0.0000, 0.0000) and Bi at (0.0000, 0.0000, 0.5000).

The crystal system is cubic. As for the formation enthalpy at 0 K: 16.0 kJ/mol of atoms. Its density of states at the Fermi level is 5.98 states/eV/cell.


Question: Number 5 is which compound?
Answer: CaBiS2N